Tc2AgP, single point on PBEsol structure, DFT SCAN; calculated volume = 55 Å³ per cell; energy relative to the elements = 0.378 eV per atom; spin magnetization = 0.00 μB per atom; calculated density = 10.2 g cm⁻³
1.0
-1.4621 -1.8273 1.8410
-1.6667 -2.0554 -3.3637
3.3351 -2.6822 -0.0135
Ag P Tc
1 1 2
Direct
0.5000 0.5000 0.5000 Ag
0.5000 0.0000 0.0000 P
0.0000 0.0000 0.5000 Tc
0.0000 0.5000 0.0000 Tc

=====

TcAg3P, single point on PBEsol structure, DFT SCAN; calculated volume = 118 Å³ per cell; energy relative to the elements = 1.870 eV per atom; spin magnetization = 0.85 μB per atom; calculated density = 6.4 g cm⁻³
1.0
4.9042 0.0000 0.0000
0.0000 4.9042 0.0000
0.0000 0.0000 4.9042
P Tc Ag
1 1 3
Direct
0.5000 0.5000 0.5000 P
0.0000 0.0000 0.0000 Tc
0.0000 0.5000 0.0000 Ag
0.0000 0.0000 0.5000 Ag
0.5000 0.0000 0.0000 Ag

=====

Tc2AgP, single point on PBEsol structure, DFT SCAN; calculated volume = 56 Å³ per cell; energy relative to the elements = 0.297 eV per atom; spin magnetization = 0.00 μB per atom; calculated density = 10.0 g cm⁻³
1.0
2.9690 0.0000 0.0000
0.0000 4.2462 0.0000
-1.4845 -2.1231 4.4190
Ag P Tc
1 1 2
Direct
0.5241 0.5241 0.0481 Ag
0.2663 0.7663 0.5326 P
0.9703 0.9703 0.9406 Tc
0.7393 0.2393 0.4787 Tc

=====

TcAgP2, single point on PBEsol structure, DFT SCAN; calculated volume = 56 Å³ per cell; energy relative to the elements = 0.399 eV per atom; spin magnetization = 0.24 μB per atom; calculated density = 7.9 g cm⁻³
1.0
-3.1854 2.5148 -0.3660
-0.1998 -3.0930 3.1722
2.4463 3.1934 0.6504
Ag P Tc
1 2 1
Direct
0.0000 0.0000 0.0000 Ag
0.7500 0.5000 0.2500 P
0.2500 0.5000 0.7500 P
0.5000 0.0000 0.5000 Tc

=====

TcAgP2, single point on PBEsol structure, DFT SCAN; calculated volume = 59 Å³ per cell; energy relative to the elements = 0.143 eV per atom; spin magnetization = 0.00 μB per atom; calculated density = 7.5 g cm⁻³
1.0
3.1096 0.0254 0.0000
-0.7362 4.2042 0.0000
0.0000 0.0000 4.5140
Ag P Tc
1 2 1
Direct
0.1745 0.7410 0.5000 Ag
0.0561 0.0295 0.0000 P
0.5944 0.2712 0.5000 P
0.6750 0.4583 0.0000 Tc

=====

Tc2AgP, single point on PBEsol structure, DFT SCAN; calculated volume = 60 Å³ per cell; energy relative to the elements = 0.268 eV per atom; spin magnetization = 0.00 μB per atom; calculated density = 9.3 g cm⁻³
1.0
2.8719 0.0000 0.0000
-1.4359 4.3899 -0.0085
0.0000 -0.2262 4.7488
Ag P Tc
1 1 2
Direct
0.5220 0.0440 0.5122 Ag
0.7276 0.4552 0.1765 P
0.9906 0.9813 0.0072 Tc
0.2598 0.5195 0.8041 Tc

=====

Tc2AgP, single point on PBEsol structure, DFT SCAN; calculated volume = 57 Å³ per cell; energy relative to the elements = 0.613 eV per atom; spin magnetization = 0.00 μB per atom; calculated density = 9.7 g cm⁻³
1.0
2.7672 -0.0072 0.0000
-0.6101 4.8630 0.0000
-1.0786 -2.4279 4.2502
Ag P Tc
1 1 2
Direct
0.5000 0.0000 0.0000 Ag
0.0000 0.5000 0.0000 P
0.0000 0.0000 0.5000 Tc
0.5000 0.5000 0.5000 Tc

=====

Ag3TeP, single point on PBEsol structure, DFT SCAN; calculated volume = 107 Å³ per cell; spin magnetization = 0.00 μB per atom; raw formation energy = 319 meV/atom; calculated density = 7.5 g cm⁻³
1.0
-4.4431 1.1403 1.2467
0.3143 -2.8884 3.7621
1.6601 3.5989 2.6244
P Te Ag
1 1 3
Direct
0.0000 0.0000 0.0000 P
0.5000 0.5000 0.5000 Te
0.0000 0.5000 0.0000 Ag
0.0000 0.0000 0.5000 Ag
0.5000 0.0000 0.0000 Ag